(1)
# Tb2BiBr, optimized geometry, DFT GGA-PBE
# Energy relative to the lowest polymorph listed for this composition   0.0000 eV per atom
# E_form (uncorrected)   -0.8231 eV per atom
data_Tb2BiBr
_chemical_formula_sum 'Tb2 Bi1 Br1'
_symmetry_space_group_name_H-M 'P 1'
_symmetry_Int_Tables_number 1
_cell_length_a 8.065
_cell_length_b 8.065
_cell_length_c 8.065
_cell_angle_alpha 30.50
_cell_angle_beta 30.50
_cell_angle_gamma 30.50
loop_
_symmetry_equiv_pos_as_xyz
'x,y,z'
loop_
_atom_site_label
_atom_site_fract_x
_atom_site_fract_y
_atom_site_fract_z
Tb1 0.000 0.000 0.000
Tb2 0.174 0.174 0.174
Bi1 0.588 0.588 0.588
Br1 0.418 0.418 0.418

(2)
# Tc3BiBr, optimized geometry, DFT GGA-PBE
# Energy relative to the lowest polymorph listed for this composition   0.0000 eV per atom
# E_form (uncorrected)   1.4982 eV per atom
data_Tc3BiBr
_chemical_formula_sum 'Tc3 Bi1 Br1'
_symmetry_space_group_name_H-M 'P 1'
_symmetry_Int_Tables_number 1
_cell_length_a 4.654
_cell_length_b 4.654
_cell_length_c 4.654
_cell_angle_alpha 90.00
_cell_angle_beta 90.00
_cell_angle_gamma 90.00
loop_
_symmetry_equiv_pos_as_xyz
'x,y,z'
loop_
_atom_site_label
_atom_site_fract_x
_atom_site_fract_y
_atom_site_fract_z
Tc1 0.000 0.000 0.500
Tc2 0.000 0.500 0.000
Tc3 0.500 0.000 0.000
Bi1 0.500 0.500 0.500
Br1 0.000 0.000 0.000

(3)
# TcBi2Br, optimized geometry, DFT GGA-PBE
# Energy relative to the lowest polymorph listed for this composition   0.1841 eV per atom
# E_form (uncorrected)   0.6897 eV per atom
data_TcBi2Br
_chemical_formula_sum 'Tc1 Bi2 Br1'
_symmetry_space_group_name_H-M 'P 1'
_symmetry_Int_Tables_number 1
_cell_length_a 5.199
_cell_length_b 5.199
_cell_length_c 5.199
_cell_angle_alpha 60.00
_cell_angle_beta 60.00
_cell_angle_gamma 60.00
loop_
_symmetry_equiv_pos_as_xyz
'x,y,z'
loop_
_atom_site_label
_atom_site_fract_x
_atom_site_fract_y
_atom_site_fract_z
Tc1 0.000 0.000 0.000
Bi1 0.250 0.250 0.250
Bi2 0.750 0.750 0.750
Br1 0.500 0.500 0.500

(4)
# Tc3BiBr, optimized geometry, DFT GGA-PBE
# Energy relative to the lowest polymorph listed for this composition   0.7552 eV per atom
# E_form (uncorrected)   2.2533 eV per atom
data_Tc3BiBr
_chemical_formula_sum 'Tc3 Bi1 Br1'
_symmetry_space_group_name_H-M 'P 1'
_symmetry_Int_Tables_number 1
_cell_length_a 5.227
_cell_length_b 5.227
_cell_length_c 5.227
_cell_angle_alpha 90.00
_cell_angle_beta 90.00
_cell_angle_gamma 90.00
loop_
_symmetry_equiv_pos_as_xyz
'x,y,z'
loop_
_atom_site_label
_atom_site_fract_x
_atom_site_fract_y
_atom_site_fract_z
Tc1 0.000 0.000 0.500
Tc2 0.000 0.500 0.000
Tc3 0.500 0.000 0.000
Bi1 0.000 0.000 0.000
Br1 0.500 0.500 0.500

(5)
# TcBi2Br, optimized geometry, DFT GGA-PBE
# Energy relative to the lowest polymorph listed for this composition   0.0000 eV per atom
# E_form (uncorrected)   0.5056 eV per atom
data_TcBi2Br
_chemical_formula_sum 'Tc2 Bi4 Br2'
_symmetry_space_group_name_H-M 'P 1'
_symmetry_Int_Tables_number 1
_cell_length_a 8.002
_cell_length_b 8.002
_cell_length_c 8.002
_cell_angle_alpha 129.80
_cell_angle_beta 129.80
_cell_angle_gamma 73.73
loop_
_symmetry_equiv_pos_as_xyz
'x,y,z'
loop_
_atom_site_label
_atom_site_fract_x
_atom_site_fract_y
_atom_site_fract_z
Tc1 0.000 0.000 0.000
Tc2 0.750 0.250 0.500
Bi1 0.043 0.625 0.918
Bi2 0.375 0.293 0.418
Bi3 0.707 0.125 0.082
Bi4 0.875 0.957 0.582
Br1 0.250 0.750 0.500
Br2 0.500 0.500 0.000

(6)
# BiTeBr2, optimized geometry, DFT GGA-PBE
# Energy relative to the lowest polymorph listed for this composition   0.1601 eV per atom
# E_form (uncorrected)   -0.1140 eV per atom
data_BiTeBr2
_chemical_formula_sum 'Bi2 Te2 Br4'
_symmetry_space_group_name_H-M 'P 1'
_symmetry_Int_Tables_number 1
_cell_length_a 7.866
_cell_length_b 7.866
_cell_length_c 7.866
_cell_angle_alpha 98.72
_cell_angle_beta 98.72
_cell_angle_gamma 134.16
loop_
_symmetry_equiv_pos_as_xyz
'x,y,z'
loop_
_atom_site_label
_atom_site_fract_x
_atom_site_fract_y
_atom_site_fract_z
Bi1 0.000 0.000 0.000
Bi2 0.750 0.250 0.500
Te1 0.250 0.750 0.500
Te2 0.500 0.500 0.000
Br1 0.375 0.248 0.373
Br2 0.752 0.125 0.127
Br3 0.875 0.002 0.627
Br4 0.998 0.625 0.873

(7)
# Bi2TeBr2, optimized geometry, DFT GGA-PBE
# Energy relative to the lowest polymorph listed for this composition   0.1636 eV per atom
# E_form (uncorrected)   -0.1261 eV per atom
data_Bi2TeBr2
_chemical_formula_sum 'Bi4 Te2 Br4'
_symmetry_space_group_name_H-M 'P 1'
_symmetry_Int_Tables_number 1
_cell_length_a 8.021
_cell_length_b 8.021
_cell_length_c 4.956
_cell_angle_alpha 90.00
_cell_angle_beta 90.00
_cell_angle_gamma 90.00
loop_
_symmetry_equiv_pos_as_xyz
'x,y,z'
loop_
_atom_site_label
_atom_site_fract_x
_atom_site_fract_y
_atom_site_fract_z
Bi1 0.140 0.360 0.000
Bi2 0.360 0.860 0.000
Bi3 0.640 0.140 0.000
Bi4 0.860 0.640 0.000
Te1 0.000 0.000 0.000
Te2 0.500 0.500 0.000
Br1 0.160 0.660 0.500
Br2 0.340 0.160 0.500
Br3 0.660 0.840 0.500
Br4 0.840 0.340 0.500

(8)
# BiTeBr3, optimized geometry, DFT GGA-PBE
# Energy relative to the lowest polymorph listed for this composition   0.0000 eV per atom
# E_form (uncorrected)   -0.0443 eV per atom
data_BiTeBr3
_chemical_formula_sum 'Bi1 Te1 Br3'
_symmetry_space_group_name_H-M 'P 1'
_symmetry_Int_Tables_number 1
_cell_length_a 5.784
_cell_length_b 5.784
_cell_length_c 5.784
_cell_angle_alpha 90.00
_cell_angle_beta 90.00
_cell_angle_gamma 90.00
loop_
_symmetry_equiv_pos_as_xyz
'x,y,z'
loop_
_atom_site_label
_atom_site_fract_x
_atom_site_fract_y
_atom_site_fract_z
Bi1 0.000 0.000 0.000
Te1 0.500 0.500 0.500
Br1 0.000 0.000 0.500
Br2 0.000 0.500 0.000
Br3 0.500 0.000 0.000